Material: Cd9InHg2
Method: DFT, PBE
State: optimized geometry

For the formation energy, the calculation gives 0.26 eV per formula unit. As for the density of states at the Fermi level: 0.32 states/eV/atom. Its final energy is -0.0347 hartree per atom. As for the volume: 23.750 A^3/atom.

The space group is P4/mmm (No. 123) and the conventional cell measures 5.662, 5.662 and 8.891 Å, with angles of 90.00, 90.00 and 90.00 degrees. The asymmetric unit holds Cd at (0.000, 0.000, 0.000), Cd at (0.000, 0.000, 0.333), Cd at (0.000, 0.500, 0.168), Cd at (0.000, 0.500, 0.500), In at (0.500, 0.500, 0.000) and Hg at (0.500, 0.500, 0.334).